5
Lattice="4.957 0.000 0.000 0.000 4.957 0.000 0.000 0.000 4.957" Properties=species:S:1:pos:R:3 comment="BaAl3Mo (meta-GGA SCAN, PBEsol geometry)" dos_at_fermi_per_ev_cell=2.65 delta_e_f_kj_per_mol_atoms=-7.70 energy_ev_per_atom=-19.62 pbc="T T T"
Ba 0.000 0.000 0.000
Al 0.000 2.479 2.479
Al 2.479 0.000 2.479
Al 2.479 2.479 0.000
Mo 2.479 2.479 2.479


4
Lattice="3.006 0.000 0.000 0.000 3.006 0.000 0.000 0.000 6.832" Properties=species:S:1:pos:R:3 comment="TlSiTc2 (meta-GGA SCAN, PBEsol geometry)" dos_at_fermi_per_ev_cell=2.59 energy_ev_per_atom=-37.99 formation_energy_uncorrected_ev_per_atom=0.130 pbc="T T T"
Tl 0.000 0.000 0.000
Si 0.000 0.000 3.416
Tc 1.503 1.503 2.099
Tc 1.503 1.503 4.733


24
Lattice="15.746 0.000 0.000 0.000 3.630 0.000 0.000 0.000 6.861" Properties=species:S:1:pos:R:3 comment="VCdClO3 (meta-GGA SCAN, PBEsol geometry)" dos_at_fermi_per_ev_cell=0.00 energy_ev_per_atom=-14.47 formation_energy_uncorrected_ev_per_atom=-2.037 pbc="T T T"
V 0.067 0.907 1.250
V 7.806 2.722 4.680
V 7.940 0.907 2.181
V 15.679 2.722 5.612
Cd 2.675 2.722 2.917
Cd 5.198 0.907 6.348
Cd 10.548 2.722 0.513
Cd 13.071 0.907 3.944
Cl 3.613 2.722 0.416
Cl 4.260 0.907 3.846
Cl 11.486 2.722 3.015
Cl 12.133 0.907 6.446
O 0.136 2.722 0.718
O 1.235 2.722 4.633
O 1.484 0.907 2.176
O 6.389 2.722 5.606
O 6.638 0.907 1.202
O 7.737 0.907 4.148
O 8.009 2.722 2.713
O 9.108 2.722 5.659
O 9.357 0.907 1.255
O 14.262 2.722 4.686
O 14.511 0.907 2.229
O 15.610 0.907 6.144


5
Lattice="3.960 0.000 0.000 0.000 3.960 0.000 0.000 0.000 3.885" Properties=species:S:1:pos:R:3 comment="SrReNO2 (meta-GGA SCAN, PBEsol geometry)" dos_at_fermi_per_ev_cell=1.46 energy_ev_per_atom=-24.73 formation_energy_uncorrected_ev_per_atom=-1.709 pbc="T T T"
Sr 0.000 0.000 0.000
Re 1.980 1.980 1.942
N 1.980 1.980 0.000
O 0.000 1.980 1.942
O 1.980 0.000 1.942


5
Lattice="4.767 0.000 0.000 0.000 4.767 0.000 0.000 0.000 4.767" Properties=species:S:1:pos:R:3 comment="NbS3Br (meta-GGA SCAN, PBEsol geometry)" dos_at_fermi_per_ev_cell=5.43 energy_ev_per_atom=-16.42 formation_energy_uncorrected_ev_per_atom=-0.126 pbc="T T T"
Nb 0.000 0.000 0.000
S 0.000 0.000 2.383
S 0.000 2.383 0.000
S 2.383 0.000 0.000
Br 2.383 2.383 2.383


5
Lattice="5.764 0.000 0.000 0.000 5.764 0.000 0.000 0.000 4.097" Properties=species:S:1:pos:R:3 comment="LaSnSe2N (meta-GGA SCAN, PBEsol geometry)" dos_at_fermi_per_ev_cell=2.87 energy_ev_per_atom=-25.74 formation_energy_uncorrected_ev_per_atom=-0.049 pbc="T T T"
La 0.000 0.000 0.000
Sn 2.882 2.882 2.048
Se 0.000 2.882 0.000
Se 2.882 0.000 0.000
N 0.000 0.000 2.048


4
Lattice="3.414 0.000 0.000 0.000 3.414 0.000 0.000 0.000 7.113" Properties=species:S:1:pos:R:3 comment="ZrPb2W (meta-GGA SCAN, PBEsol geometry)" dos_at_fermi_per_ev_cell=2.33 delta_e_f_kj_per_mol_atoms=53.85 energy_ev_per_atom=-62.43 polymorph_energy_ev_per_atom=0.000 pbc="T T T"
Zr 0.000 0.000 0.000
Pb 1.707 1.707 1.918
Pb 1.707 1.707 5.196
W 0.000 0.000 3.557


5
Lattice="4.142 0.000 0.000 0.000 4.142 0.000 0.000 0.000 3.803" Properties=species:S:1:pos:R:3 comment="SrBrNO2 (meta-GGA SCAN, PBEsol geometry)" dos_at_fermi_per_ev_cell=0.45 energy_ev_per_atom=-12.94 formation_energy_uncorrected_ev_per_atom=-0.240 pbc="T T T"
Sr 0.000 0.000 0.000
Br 2.071 2.071 1.901
N 2.071 2.071 0.000
O 0.000 2.071 1.901
O 2.071 0.000 1.901


3
Lattice="0.000 3.463 3.463 3.463 0.000 3.463 3.463 3.463 0.000" Properties=species:S:1:pos:R:3 comment="TePbAu (meta-GGA SCAN, PBEsol geometry)" dos_at_fermi_per_ev_cell=1.05 energy_ev_per_atom=-60.80 formation_energy_uncorrected_ev_per_atom=-0.075 pbc="T T T"
Te 0.000 0.000 0.000
Pb 3.463 3.463 3.463
Au 5.194 5.194 5.194


5
Lattice="3.931 0.000 0.000 0.000 3.931 0.000 0.000 0.000 3.931" Properties=species:S:1:pos:R:3 comment="HPd3Pt (meta-GGA SCAN, PBEsol geometry)" dos_at_fermi_per_ev_cell=6.64 energy_ev_per_atom=-34.41 pbc="T T T"
H 0.000 0.000 0.000
Pd 0.000 0.000 1.965
Pd 0.000 1.965 0.000
Pd 1.965 0.000 0.000
Pt 1.965 1.965 1.965


24
Lattice="9.380 0.000 0.000 0.000 12.305 0.000 0.000 0.000 6.646" Properties=species:S:1:pos:R:3 comment="TlTe3 (meta-GGA SCAN, PBEsol geometry)" dos_at_fermi_per_ev_cell=7.78 energy_ev_per_atom=-46.11 formation_energy_uncorrected_ev_per_atom=-0.083 pbc="T T T"
Tl 2.345 1.148 1.311
Tl 2.345 5.005 1.311
Tl 2.345 9.229 2.559
Tl 7.035 3.076 4.087
Tl 7.035 7.300 5.336
Tl 7.035 11.157 5.336
Te 0.210 0.903 4.461
Te 0.210 5.249 4.461
Te 0.291 9.229 6.228
Te 2.345 3.076 4.266
Te 2.345 7.235 5.385
Te 2.345 11.222 5.385
Te 4.400 9.229 6.228
Te 4.480 0.903 4.461
Te 4.480 5.249 4.461
Te 4.900 7.056 2.185
Te 4.900 11.402 2.185
Te 4.981 3.076 0.418
Te 7.035 1.083 1.261
Te 7.035 5.070 1.261
Te 7.035 9.229 2.381
Te 9.090 3.076 0.418
Te 9.171 7.056 2.185
Te 9.171 11.402 2.185


5
Lattice="5.379 0.000 0.000 0.000 5.379 0.000 0.000 0.000 5.201" Properties=species:S:1:pos:R:3 comment="GeSbTe2Au (meta-GGA SCAN, PBEsol geometry)" dos_at_fermi_per_ev_cell=3.96 energy_ev_per_atom=-39.34 formation_energy_uncorrected_ev_per_atom=0.657 pbc="T T T"
Ge 0.000 0.000 0.000
Sb 2.690 2.690 0.000
Te 0.000 2.690 2.600
Te 2.690 0.000 2.600
Au 2.690 2.690 2.600


5
Lattice="5.112 0.000 0.000 0.000 5.112 0.000 0.000 0.000 5.719" Properties=species:S:1:pos:R:3 comment="BaHf2ZrTi (meta-GGA SCAN, PBEsol geometry)" dos_at_fermi_per_ev_cell=4.96 delta_e_f_kj_per_mol_atoms=139.03 energy_ev_per_atom=-40.88 pbc="T T T"
Ba 0.000 0.000 0.000
Hf 0.000 2.556 2.859
Hf 2.556 0.000 2.859
Zr 0.000 0.000 2.859
Ti 2.556 2.556 0.000


12
Lattice="4.845 0.000 0.000 -2.423 4.196 0.000 0.000 0.000 7.998" Properties=species:S:1:pos:R:3 comment="NbCr2 (meta-GGA SCAN, PBEsol geometry)" dos_at_fermi_per_ev_cell=10.09 delta_e_f_kj_per_mol_atoms=1.66 energy_ev_per_atom=-23.28 pbc="T T T"
Nb 0.000 2.798 0.474
Nb 0.000 2.798 3.525
Nb 2.423 1.399 4.473
Nb 2.423 1.399 7.524
Cr 0.000 0.000 0.000
Cr 0.000 0.000 3.999
Cr 0.000 1.423 5.999
Cr -1.190 3.485 5.999
Cr 1.233 0.712 2.000
Cr 1.190 3.485 5.999
Cr 3.613 0.712 2.000
Cr 2.423 2.773 2.000


4
Lattice="3.864 0.000 0.000 0.000 3.864 0.000 0.000 0.000 2.890" Properties=species:S:1:pos:R:3 comment="MnCo2Si (meta-GGA SCAN, PBEsol geometry)" dos_at_fermi_per_ev_cell=1.36 energy_ev_per_atom=-16.22 formation_energy_uncorrected_ev_per_atom=-0.497 pbc="T T T"
Mn 0.000 0.000 0.000
Co 0.000 1.932 1.445
Co 1.932 0.000 1.445
Si 1.932 1.932 0.000


4
Lattice="0.000 3.120 3.120 3.120 0.000 3.120 3.120 3.120 0.000" Properties=species:S:1:pos:R:3 comment="RuPtW2 (meta-GGA SCAN, PBEsol geometry)" dos_at_fermi_per_ev_cell=5.49 delta_e_f_kj_per_mol_atoms=44.28 energy_ev_per_atom=-60.64 polymorph_energy_ev_per_atom=0.686 pbc="T T T"
Ru 0.000 0.000 0.000
Pt 3.120 3.120 3.120
W 1.560 1.560 1.560
W 4.679 4.679 4.679


5
Lattice="4.407 0.000 0.000 0.000 4.407 0.000 0.000 0.000 4.407" Properties=species:S:1:pos:R:3 comment="NiGe3C (meta-GGA SCAN, PBEsol geometry)" dos_at_fermi_per_ev_cell=1.90 delta_e_f_kj_per_mol_atoms=131.86 energy_ev_per_atom=-15.34 pbc="T T T"
Ni 0.000 0.000 0.000
Ge 0.000 0.000 2.204
Ge 0.000 2.204 0.000
Ge 2.204 0.000 0.000
C 2.204 2.204 2.204


3
Lattice="0.000 1.912 6.085 1.908 0.000 6.085 1.908 1.912 0.000" Properties=species:S:1:pos:R:3 comment="MoRhW (meta-GGA SCAN, PBEsol geometry)" dos_at_fermi_per_ev_cell=1.60 delta_e_f_kj_per_mol_atoms=-4.30 energy_ev_per_atom=-46.16 pbc="T T T"
Mo 0.000 0.000 0.000
Rh 1.908 1.912 4.150
W 1.908 1.912 8.294


4
Lattice="2.674 0.000 0.000 0.000 2.674 0.000 0.000 0.000 6.999" Properties=species:S:1:pos:R:3 comment="CdCo2Ni (meta-GGA SCAN, PBEsol geometry)" dos_at_fermi_per_ev_cell=3.04 delta_e_f_kj_per_mol_atoms=20.16 energy_ev_per_atom=-20.09 polymorph_energy_ev_per_atom=0.000 pbc="T T T"
Cd 0.000 0.000 0.000
Co 1.337 1.337 2.010
Co 1.337 1.337 4.989
Ni 0.000 0.000 3.500


4
Lattice="0.000 3.438 3.438 3.438 0.000 3.438 3.438 3.438 0.000" Properties=species:S:1:pos:R:3 comment="GdThRu2 (meta-GGA SCAN, PBEsol geometry)" dos_at_fermi_per_ev_cell=2.01 delta_e_f_kj_per_mol_atoms=-37.07 energy_ev_per_atom=-56.48 pbc="T T T"
Gd 0.000 0.000 0.000
Th 3.438 3.438 3.438
Ru 1.719 1.719 1.719
Ru 5.158 5.158 5.158


4
Lattice="4.870 0.000 0.000 0.000 4.870 0.000 0.000 0.000 2.690" Properties=species:S:1:pos:R:3 comment="Li2CaRe (meta-GGA SCAN, PBEsol geometry)" dos_at_fermi_per_ev_cell=2.72 delta_e_f_kj_per_mol_atoms=69.70 energy_ev_per_atom=-20.66 polymorph_energy_ev_per_atom=0.133 pbc="T T T"
Li 0.000 2.435 0.000
Li 2.435 0.000 0.000
Ca 0.000 0.000 1.345
Re 2.435 2.435 1.345


4
Lattice="0.000 4.159 4.159 4.159 0.000 4.159 4.159 4.159 0.000" Properties=species:S:1:pos:R:3 comment="KBaPb2 (meta-GGA SCAN, PBEsol geometry)" dos_at_fermi_per_ev_cell=2.71 delta_e_f_kj_per_mol_atoms=-43.46 energy_ev_per_atom=-50.31 polymorph_energy_ev_per_atom=0.124 pbc="T T T"
K 0.000 0.000 0.000
Ba 4.159 4.159 4.159
Pb 2.080 2.080 2.080
Pb 6.239 6.239 6.239


4
Lattice="4.357 0.000 0.000 0.000 1.448 5.369 0.000 -1.448 5.369" Properties=species:S:1:pos:R:3 comment="MgAl2Si (meta-GGA SCAN, PBEsol geometry)" dos_at_fermi_per_ev_cell=1.52 energy_ev_per_atom=-7.50 formation_energy_uncorrected_ev_per_atom=0.119 pbc="T T T"
Mg 0.000 0.000 0.000
Al 0.000 0.000 2.800
Al 2.178 0.000 7.048
Si 2.178 0.000 4.308


6
Lattice="0.000 3.526 3.526 3.526 0.000 3.526 3.526 3.526 0.000" Properties=species:S:1:pos:R:3 comment="MgZn4W (meta-GGA SCAN, PBEsol geometry)" dos_at_fermi_per_ev_cell=3.26 delta_e_f_kj_per_mol_atoms=21.98 energy_ev_per_atom=-21.23 pbc="T T T"
Mg 0.000 0.000 0.000
Zn 4.400 2.653 2.653
Zn 2.653 4.400 2.653
Zn 2.653 2.653 4.400
Zn 4.400 4.400 4.400
W 1.763 1.763 1.763


5
Lattice="5.358 0.000 0.000 0.000 5.358 0.000 0.000 0.000 5.358" Properties=species:S:1:pos:R:3 comment="In3SeO (meta-GGA SCAN, PBEsol geometry)" dos_at_fermi_per_ev_cell=1.76 energy_ev_per_atom=-24.55 formation_energy_uncorrected_ev_per_atom=0.746 pbc="T T T"
In 0.000 0.000 2.679
In 0.000 2.679 0.000
In 2.679 0.000 0.000
Se 0.000 0.000 0.000
O 2.679 2.679 2.679


5
Lattice="4.510 0.000 0.000 0.000 4.510 0.000 0.000 0.000 3.381" Properties=species:S:1:pos:R:3 comment="CuTcP2O (meta-GGA SCAN, PBEsol geometry)" dos_at_fermi_per_ev_cell=3.13 energy_ev_per_atom=-14.77 formation_energy_uncorrected_ev_per_atom=0.688 pbc="T T T"
Cu 0.000 0.000 0.000
Tc 2.255 2.255 1.691
P 0.000 2.255 0.000
P 2.255 0.000 0.000
O 0.000 0.000 1.691


10
Lattice="7.600 0.000 0.000 0.000 7.600 0.000 0.000 0.000 4.725" Properties=species:S:1:pos:R:3 comment="Ca2Sn2Hg (meta-GGA SCAN, PBEsol geometry)" dos_at_fermi_per_ev_cell=5.13 delta_e_f_kj_per_mol_atoms=-54.97 energy_ev_per_atom=-32.44 pbc="T T T"
Ca 1.274 2.526 0.000
Ca 2.526 6.326 0.000
Ca 5.074 1.274 0.000
Ca 6.326 5.074 0.000
Sn 1.035 4.835 2.363
Sn 2.765 1.035 2.363
Sn 4.835 6.565 2.363
Sn 6.565 2.765 2.363
Hg 0.000 0.000 2.363
Hg 3.800 3.800 2.363